The following is a DFT calculation (PBE-GGA) of crystalline In2SnSe at its relaxed geometry.

## Properties
total moment = 0.0 μB/f.u.
relative energy among the computed polymorphs = 70 meV/atom
SG = No. 160

Geometry as POSCAR:
```
In2SnSe
1.0
1.969 1.137 8.225
-1.969 1.137 8.225
0.000 -2.274 8.225
In Sn Se
2 1 1
direct
0.000 0.000 0.000
0.153 0.153 0.153
0.578 0.578 0.578
0.407 0.407 0.407
```


The following is a DFT calculation (PBE-GGA) of crystalline InSn2Se3 at its relaxed geometry.

## Properties
total moment = 0.0 μB/f.u.
final energy = -3.955 eV per atom
SG = No. 71

Geometry as POSCAR:
```
InSn2Se3
1.0
-2.142 2.979 6.398
2.142 -2.979 6.398
2.142 2.979 -6.398
In Sn Se
1 2 3
direct
0.000 0.000 0.000
0.332 0.332 0.000
0.668 0.668 0.000
0.166 0.666 0.500
0.500 0.000 0.500
0.834 0.334 0.500
```


The following is a DFT calculation (PBE-GGA) of crystalline In2SnSe2 at its relaxed geometry.

## Properties
total moment = 0.0 μB/f.u.
relative energy among the computed polymorphs = 149 meV/atom
SG = No. 139

Geometry as POSCAR:
```
In2SnSe2
1.0
-2.073 2.073 7.999
2.073 -2.073 7.999
2.073 2.073 -7.999
In Sn Se
2 1 2
direct
0.250 0.750 0.500
0.750 0.250 0.500
0.000 0.000 0.000
0.407 0.407 0.000
0.593 0.593 0.000
```


The following is a DFT calculation (PBE-GGA) of crystalline In3Sn4Se8 at its relaxed geometry.

## Properties
total moment = 0.0 μB/f.u.
final energy = -3.881 eV per atom
SG = No. 12

Geometry as POSCAR:
```
In3Sn4Se8
1.0
5.861 -5.897 0.000
5.861 5.897 0.000
-5.778 0.000 5.891
In Sn Se
3 4 8
direct
0.000 0.000 0.000
0.000 0.500 0.500
0.500 0.000 0.500
0.000 0.000 0.500
0.000 0.500 0.000
0.500 0.000 0.000
0.500 0.500 0.000
0.247 0.247 0.002
0.247 0.753 0.000
0.248 0.248 0.490
0.251 0.749 0.500
0.749 0.251 0.500
0.752 0.752 0.510
0.753 0.247 0.000
0.753 0.753 0.998
```


The following is a DFT calculation (PBE-GGA) of crystalline In2SnSe4 at its relaxed geometry.

## Properties
total moment = 0.0 μB/f.u.
relative energy among the computed polymorphs = 36 meV/atom
SG = No. 111

Geometry as POSCAR:
```
In2SnSe4
1.0
5.893 0.000 0.000
0.000 5.893 0.000
0.000 0.000 6.867
In Sn Se
2 1 4
direct
0.000 0.500 0.000
0.500 0.000 0.000
0.000 0.000 0.500
0.274 0.274 0.764
0.274 0.726 0.236
0.726 0.274 0.236
0.726 0.726 0.764
```


The following is a DFT calculation (PBE-GGA) of crystalline InSnSe at its relaxed geometry.

## Properties
total moment = 0.0 μB/f.u.
relative energy among the computed polymorphs = 93 meV/atom
SG = No. 156

Geometry as POSCAR:
```
InSnSe
1.0
3.954 0.000 0.000
-1.977 3.425 0.000
0.000 0.000 6.165
In Sn Se
1 1 1
direct
0.000 0.000 0.000
0.333 0.667 0.612
0.667 0.333 0.312
```


The following is a DFT calculation (PBE-GGA) of crystalline In2SnSe5 at its relaxed geometry.

## Properties
total moment = 0.0 μB/f.u.
relative energy among the computed polymorphs = 0 meV/atom
SG = No. 1

Geometry as POSCAR:
```
In2SnSe5
1.0
6.669 0.000 0.000
2.145 6.427 0.000
2.192 1.901 6.491
In Sn Se
2 1 5
direct
0.000 0.000 0.000
0.438 0.396 0.829
0.994 0.604 0.587
0.022 0.617 0.946
0.209 0.861 0.300
0.253 0.206 0.660
0.604 0.181 0.138
0.637 0.647 0.506
```


The following is a DFT calculation (PBE-GGA) of crystalline In2SnSe2 at its relaxed geometry.

## Properties
total moment = 0.0 μB/f.u.
relative energy among the computed polymorphs = 0 meV/atom
SG = No. 127

Geometry as POSCAR:
```
In2SnSe2
1.0
8.247 0.000 0.000
0.000 8.247 0.000
0.000 0.000 3.984
In Sn Se
4 2 4
direct
0.137 0.363 0.000
0.363 0.863 0.000
0.637 0.137 0.000
0.863 0.637 0.000
0.000 0.000 0.500
0.500 0.500 0.500
0.178 0.678 0.500
0.322 0.178 0.500
0.678 0.822 0.500
0.822 0.322 0.500
```


The following is a DFT calculation (PBE-GGA) of crystalline InSn2Se4 at its relaxed geometry.

## Properties
total moment = 0.0 μB/f.u.
relative energy among the computed polymorphs = 0 meV/atom
SG = No. 122

Geometry as POSCAR:
```
InSn2Se4
1.0
-5.018 5.018 4.101
5.018 -5.018 4.101
5.018 5.018 -4.101
In Sn Se
2 4 8
direct
0.000 0.000 0.000
0.750 0.250 0.500
0.145 0.625 0.020
0.375 0.395 0.520
0.605 0.125 0.980
0.875 0.855 0.480
0.086 0.365 0.206
0.115 0.336 0.706
0.120 0.914 0.279
0.159 0.880 0.794
0.591 0.885 0.221
0.630 0.409 0.294
0.635 0.841 0.721
0.664 0.370 0.779
```


The following is a DFT calculation (PBE-GGA) of crystalline InSnSe at its relaxed geometry.

## Properties
total moment = 0.0 μB/f.u.
relative energy among the computed polymorphs = 11 meV/atom
SG = No. 31

Geometry as POSCAR:
```
InSnSe
1.0
4.198 0.000 0.000
0.000 9.416 0.000
0.000 0.000 4.236
In Sn Se
2 2 2
direct
0.000 0.155 0.000
0.500 0.845 0.500
0.000 0.460 0.912
0.500 0.540 0.412
0.000 0.870 0.945
0.500 0.130 0.445
```


The following is a DFT calculation (PBE-GGA) of crystalline InSn2Se4 at its relaxed geometry.

## Properties
total moment = 0.0 μB/f.u.
relative energy among the computed polymorphs = 56 meV/atom
SG = No. 63

Geometry as POSCAR:
```
InSn2Se4
1.0
1.984 -6.659 0.000
1.984 6.659 0.000
0.000 0.000 14.136
In Sn Se
2 4 8
direct
0.114 0.886 0.750
0.886 0.114 0.250
0.366 0.634 0.566
0.366 0.634 0.934
0.634 0.366 0.066
0.634 0.366 0.434
0.000 0.000 0.000
0.000 0.000 0.500
0.273 0.727 0.124
0.273 0.727 0.376
0.469 0.531 0.750
0.531 0.469 0.250
0.727 0.273 0.624
0.727 0.273 0.876
```


The following is a DFT calculation (PBE-GGA) of crystalline InSnSe3 at its relaxed geometry.

## Properties
total moment = 0.0 μB/f.u.
final energy = -3.829 eV per atom
SG = No. 62

Geometry as POSCAR:
```
InSnSe3
1.0
10.249 0.000 0.000
0.000 3.958 0.000
0.000 0.000 13.897
In Sn Se
4 4 12
direct
0.028 0.250 0.115
0.472 0.750 0.615
0.528 0.250 0.385
0.972 0.750 0.885
0.162 0.250 0.538
0.338 0.750 0.038
0.662 0.250 0.962
0.838 0.750 0.462
0.023 0.750 0.623
0.159 0.250 0.939
0.165 0.750 0.196
0.335 0.250 0.696
0.341 0.750 0.439
0.477 0.250 0.123
0.523 0.750 0.877
0.659 0.250 0.561
0.665 0.750 0.304
0.835 0.250 0.804
0.841 0.750 0.061
0.977 0.250 0.377
```


The following is a DFT calculation (PBE-GGA) of crystalline In2Sn2Se5 at its relaxed geometry.

## Properties
total moment = 0.0 μB/f.u.
relative energy among the computed polymorphs = 0 meV/atom
SG = No. 12

Geometry as POSCAR:
```
In2Sn2Se5
1.0
9.771 -2.108 0.000
9.771 2.108 0.000
-0.607 0.000 6.788
In Sn Se
2 2 5
direct
0.129 0.129 0.390
0.871 0.871 0.610
0.439 0.439 0.166
0.561 0.561 0.834
0.000 0.000 0.500
0.143 0.143 0.020
0.326 0.326 0.400
0.674 0.674 0.600
0.857 0.857 0.980
```


The following is a DFT calculation (PBE-GGA) of crystalline InSnSe3 at its relaxed geometry.

## Properties
total moment = 0.0 μB/f.u.
final energy = -3.842 eV per atom
SG = No. 2

Geometry as POSCAR:
```
InSnSe3
1.0
6.336 0.000 0.000
-3.011 6.465 0.000
-0.071 -2.588 7.251
In Sn Se
2 2 6
direct
0.249 0.168 0.407
0.751 0.832 0.593
0.411 0.179 0.909
0.589 0.821 0.091
0.186 0.863 0.070
0.191 0.866 0.575
0.494 0.498 0.264
0.506 0.502 0.736
0.809 0.134 0.425
0.814 0.137 0.930
```


The following is a DFT calculation (PBE-GGA) of crystalline InSn2Se3 at its relaxed geometry.

## Properties
total moment = 0.0 μB/f.u.
final energy = -3.956 eV per atom
SG = No. 139

Geometry as POSCAR:
```
InSn2Se3
1.0
-2.119 2.119 9.100
2.119 -2.119 9.100
2.119 2.119 -9.100
In Sn Se
1 2 3
direct
0.000 0.000 0.000
0.333 0.333 0.000
0.667 0.667 0.000
0.167 0.167 0.000
0.500 0.500 0.000
0.833 0.833 0.000
```


The following is a DFT calculation (PBE-GGA) of crystalline In4SnSe4 at its relaxed geometry.

## Properties
total moment = 0.0 μB/f.u.
final energy = -3.674 eV per atom
SG = No. 205

Geometry as POSCAR:
```
In4SnSe4
1.0
13.035 0.000 0.000
0.000 13.035 0.000
0.000 0.000 13.035
In Sn Se
32 8 32
direct
0.034 0.068 0.274
0.034 0.432 0.774
0.068 0.226 0.534
0.068 0.274 0.034
0.225 0.725 0.775
0.225 0.775 0.275
0.226 0.534 0.068
0.226 0.966 0.568
0.274 0.034 0.068
0.274 0.466 0.568
0.275 0.225 0.775
0.275 0.275 0.275
0.432 0.726 0.534
0.432 0.774 0.034
0.466 0.568 0.274
0.466 0.932 0.774
0.534 0.068 0.226
0.534 0.432 0.726
0.568 0.226 0.966
0.568 0.274 0.466
0.725 0.725 0.725
0.725 0.775 0.225
0.726 0.534 0.432
0.726 0.966 0.932
0.774 0.034 0.432
0.774 0.466 0.932
0.775 0.225 0.725
0.775 0.275 0.225
0.932 0.726 0.966
0.932 0.774 0.466
0.966 0.568 0.226
0.966 0.932 0.726
0.099 0.599 0.901
0.099 0.901 0.401
0.401 0.099 0.901
0.401 0.401 0.401
0.599 0.599 0.599
0.599 0.901 0.099
0.901 0.099 0.599
0.901 0.401 0.099
0.074 0.239 0.829
0.074 0.261 0.329
0.075 0.075 0.075
0.075 0.425 0.575
0.171 0.574 0.261
0.171 0.926 0.761
0.239 0.671 0.574
0.239 0.829 0.074
0.261 0.171 0.574
0.261 0.329 0.074
0.329 0.074 0.261
0.329 0.426 0.761
0.425 0.575 0.075
0.425 0.925 0.575
0.426 0.739 0.829
0.426 0.761 0.329
0.574 0.239 0.671
0.574 0.261 0.171
0.575 0.075 0.425
0.575 0.425 0.925
0.671 0.574 0.239
0.671 0.926 0.739
0.739 0.671 0.926
0.739 0.829 0.426
0.761 0.171 0.926
0.761 0.329 0.426
0.829 0.074 0.239
0.829 0.426 0.739
0.925 0.575 0.425
0.925 0.925 0.925
0.926 0.739 0.671
0.926 0.761 0.171
```


The following is a DFT calculation (PBE-GGA) of crystalline InSn4Se6 at its relaxed geometry.

## Properties
total moment = 0.0 μB/f.u.
final energy = -3.957 eV per atom
SG = No. 9

Geometry as POSCAR:
```
InSn4Se6
1.0
7.908 -3.764 0.000
7.908 3.764 0.000
-6.292 0.000 11.828
In Sn Se
2 8 12
direct
0.201 0.799 0.500
0.799 0.201 0.000
0.160 0.353 0.552
0.205 0.891 0.255
0.261 0.614 0.912
0.353 0.160 0.052
0.606 0.818 0.749
0.614 0.261 0.412
0.818 0.606 0.249
0.891 0.205 0.755
0.009 0.483 0.737
0.198 0.602 0.290
0.266 0.892 0.868
0.418 0.940 0.544
0.483 0.009 0.237
0.489 0.517 0.616
0.517 0.489 0.116
0.602 0.198 0.790
0.859 0.957 0.540
0.892 0.266 0.368
0.940 0.418 0.044
0.957 0.859 0.040
```


The following is a DFT calculation (PBE-GGA) of crystalline In2SnSe at its relaxed geometry.

## Properties
total moment = 0.0 μB/f.u.
relative energy among the computed polymorphs = 0 meV/atom
SG = No. 122

Geometry as POSCAR:
```
In2SnSe
1.0
-3.232 3.232 6.576
3.232 -3.232 6.576
3.232 3.232 -6.576
In Sn Se
4 2 2
direct
0.122 0.625 0.997
0.375 0.372 0.497
0.628 0.125 0.003
0.875 0.878 0.503
0.250 0.750 0.500
0.500 0.500 0.000
0.000 0.000 0.000
0.750 0.250 0.500
```


The following is a DFT calculation (PBE-GGA) of crystalline InSnSe at its relaxed geometry.

## Properties
total moment = 0.0 μB/f.u.
relative energy among the computed polymorphs = 50 meV/atom
SG = No. 12

Geometry as POSCAR:
```
InSnSe
1.0
3.126 -2.974 0.000
3.126 2.974 0.000
-2.552 0.000 8.724
In Sn Se
2 2 2
direct
0.137 0.137 0.335
0.863 0.863 0.665
0.267 0.267 0.043
0.733 0.733 0.957
0.307 0.307 0.654
0.693 0.693 0.346
```